This record from OQMD via LeMat-Bulk describes a geometry-optimized TlAg3MoS4 structure. The functional is PBE.

```
9
Lattice="6.231 0.000 0.000 0.000 6.231 0.000 0.000 0.000 6.231" Properties=species:S:1:pos:R:3 pbc="T T T"
Tl 0.000 0.000 0.000
Ag 0.000 3.116 3.116
Ag 3.116 0.000 3.116
Ag 3.116 3.116 0.000
Mo 3.116 3.116 3.116
S 1.765 1.765 1.765
S 1.765 4.466 4.466
S 4.466 1.765 4.466
S 4.466 4.466 1.765
```

Results
* space group: P-43m
* calculated total energy: -39.87 eV per cell

=====

This record from OQMD via LeMat-Bulk describes a geometry-optimized HgAu2S4 structure. The functional is PBE.

```
14
Lattice="6.165 -1.786 0.000 6.165 1.786 0.000 -5.924 0.000 15.409" Properties=species:S:1:pos:R:3 pbc="T T T"
Hg 0.000 0.000 0.000
Hg -2.962 0.000 7.705
Au -2.456 0.000 13.455
Au 0.533 0.000 9.643
Au 5.874 0.000 5.767
Au 8.863 0.000 1.955
S -1.872 0.000 5.522
S 1.112 0.000 2.169
S 1.269 0.000 5.830
S 4.258 0.000 1.934
S 2.149 0.000 13.475
S 5.138 0.000 9.579
S 5.295 0.000 13.240
S 8.279 0.000 9.888
```

Results
* space group: C2/m
* calculated total energy: -46.32 eV per cell

=====

This record from OQMD via LeMat-Bulk describes a geometry-optimized NaAgPdW structure. The functional is PBE.

```
16
Lattice="6.465 0.000 0.000 0.000 6.465 0.000 0.000 0.000 6.465" Properties=species:S:1:pos:R:3 pbc="T T T"
Na 0.000 0.000 0.000
Na 0.000 3.232 3.232
Na 3.232 0.000 3.232
Na 3.232 3.232 0.000
Ag 1.616 1.616 4.849
Ag 1.616 4.849 1.616
Ag 4.849 1.616 1.616
Ag 4.849 4.849 4.849
Pd 1.616 1.616 1.616
Pd 1.616 4.849 4.849
Pd 4.849 1.616 4.849
Pd 4.849 4.849 1.616
W 0.000 0.000 3.232
W 0.000 3.232 0.000
W 3.232 0.000 0.000
W 3.232 3.232 3.232
```

Results
* space group: F-43m
* calculated total energy: -77.75 eV per cell

=====

This record from OQMD via LeMat-Bulk describes a geometry-optimized Tb structure. The functional is PBE.

```
2
Lattice="4.002 0.000 0.000 0.000 4.002 0.000 0.000 0.000 4.002" Properties=species:S:1:pos:R:3 pbc="T T T"
Tb 0.000 0.000 0.000
Tb 2.001 2.001 2.001
```

Results
* energy of formation: 0.145 eV/atom
* space group: Im-3m

=====

This record from OQMD via LeMat-Bulk describes a geometry-optimized Y2Ta4Ga3C3 structure. The functional is PBE.

```
24
Lattice="4.882 -2.810 0.000 4.882 2.810 0.000 -3.353 0.000 13.874" Properties=species:S:1:pos:R:3 pbc="T T T"
Y 2.425 2.358 8.536
Y 2.309 2.358 12.274
Y 4.102 -2.358 1.599
Y 3.986 -2.358 5.337
Ta 2.378 0.434 1.118
Ta 2.389 0.541 5.818
Ta 0.701 -0.434 8.055
Ta 0.712 -0.541 12.755
Ta 5.699 0.541 1.118
Ta 5.710 0.434 5.818
Ta 4.023 -0.541 8.055
Ta 4.034 -0.434 12.755
Ga -0.158 0.872 10.440
Ga 1.519 -0.872 3.503
Ga 4.044 0.384 3.468
Ga 2.367 -0.384 10.405
Ga 4.893 0.872 10.371
Ga 6.569 -0.872 3.434
C 0.765 1.405 6.937
C 4.035 1.347 0.003
C 4.053 1.347 6.934
C 2.441 -1.405 0.000
C 2.359 -1.347 6.939
C 2.376 -1.347 13.871
```

Results
* space group: C2/c
* calculated total energy: -208.50 eV per cell

=====

This record from OQMD via LeMat-Bulk describes a geometry-optimized Mg3Pa structure. The functional is PBE.

```
8
Lattice="5.134 0.000 0.000 0.000 5.134 0.000 0.000 0.000 7.232" Properties=species:S:1:pos:R:3 pbc="T T T"
Mg 0.000 0.000 0.000
Mg 0.000 2.567 1.808
Mg 0.000 2.567 5.424
Mg 2.567 0.000 1.808
Mg 2.567 0.000 5.424
Mg 2.567 2.567 3.616
Pa 0.000 0.000 3.616
Pa 2.567 2.567 0.000
```

Results
* space group: I4/mmm
* calculated total energy: -25.51 eV per cell

=====

This record from OQMD via LeMat-Bulk describes a geometry-optimized K2RbAgF5 structure. The functional is PBE.

```
18
Lattice="6.916 0.000 0.000 0.000 6.916 0.000 0.000 0.000 6.226" Properties=species:S:1:pos:R:3 pbc="T T T"
K 1.115 2.343 0.000
K 2.343 5.801 0.000
K 4.573 1.115 0.000
K 5.801 4.573 0.000
Rb 0.000 0.000 3.113
Rb 3.458 3.458 3.113
Ag 0.000 3.458 3.113
Ag 3.458 0.000 3.113
F 0.000 0.000 0.000
F 1.066 4.524 1.707
F 1.066 4.524 4.519
F 2.392 1.066 1.707
F 2.392 1.066 4.519
F 3.458 3.458 0.000
F 4.524 5.850 1.707
F 4.524 5.850 4.519
F 5.850 2.392 1.707
F 5.850 2.392 4.519
```

Results
* space group: P4/mbm
* calculated total energy: -69.19 eV per cell

=====

This record from OQMD via LeMat-Bulk describes a geometry-optimized NdSmAl structure. The functional is PBE.

```
12
Lattice="7.236 0.000 0.000 0.000 7.236 0.000 0.000 0.000 7.236" Properties=species:S:1:pos:R:3 pbc="T T T"
Nd 0.000 0.000 0.000
Nd 0.000 3.618 3.618
Nd 3.618 0.000 3.618
Nd 3.618 3.618 0.000
Sm 1.809 1.809 5.427
Sm 1.809 5.427 1.809
Sm 5.427 1.809 1.809
Sm 5.427 5.427 5.427
Al 0.000 0.000 3.618
Al 0.000 3.618 0.000
Al 3.618 0.000 0.000
Al 3.618 3.618 3.618
```

Results
* space group: F-43m
* calculated total energy: -47.18 eV per cell

=====

This record from OQMD via LeMat-Bulk describes a geometry-optimized CsPaNi structure. The functional is PBE.

```
12
Lattice="6.842 0.000 0.000 0.000 6.842 0.000 0.000 0.000 6.842" Properties=species:S:1:pos:R:3 pbc="T T T"
Cs 0.000 0.000 0.000
Cs 0.000 3.421 3.421
Cs 3.421 0.000 3.421
Cs 3.421 3.421 0.000
Pa 1.710 1.710 1.710
Pa 1.710 5.131 5.131
Pa 5.131 1.710 5.131
Pa 5.131 5.131 1.710
Ni 0.000 0.000 3.421
Ni 0.000 3.421 0.000
Ni 3.421 0.000 0.000
Ni 3.421 3.421 3.421
```

Results
* space group: F-43m
* calculated total energy: -46.97 eV per cell

=====

This record from OQMD via LeMat-Bulk describes a geometry-optimized SrZn2Fe structure. The functional is PBE.

```
16
Lattice="6.859 0.000 0.000 0.000 6.859 0.000 0.000 0.000 6.859" Properties=species:S:1:pos:R:3 pbc="T T T"
Sr 0.000 0.000 0.000
Sr 0.000 3.429 3.429
Sr 3.429 0.000 3.429
Sr 3.429 3.429 0.000
Zn 0.000 0.000 3.429
Zn 0.000 3.429 0.000
Zn 1.715 1.715 5.144
Zn 1.715 5.144 1.715
Zn 3.429 0.000 0.000
Zn 3.429 3.429 3.429
Zn 5.144 1.715 1.715
Zn 5.144 5.144 5.144
Fe 1.715 1.715 1.715
Fe 1.715 5.144 5.144
Fe 5.144 1.715 5.144
Fe 5.144 5.144 1.715
```

Results
* space group: F-43m
* calculated total energy: -43.27 eV per cell

=====

This record from OQMD via LeMat-Bulk describes a geometry-optimized KCuPdW structure. The functional is PBE.

```
16
Lattice="6.559 0.000 0.000 0.000 6.559 0.000 0.000 0.000 6.559" Properties=species:S:1:pos:R:3 pbc="T T T"
K 0.000 0.000 0.000
K 0.000 3.279 3.279
K 3.279 0.000 3.279
K 3.279 3.279 0.000
Cu 0.000 0.000 3.279
Cu 0.000 3.279 0.000
Cu 3.279 0.000 0.000
Cu 3.279 3.279 3.279
Pd 1.640 1.640 4.919
Pd 1.640 4.919 1.640
Pd 4.919 1.640 1.640
Pd 4.919 4.919 4.919
W 1.640 1.640 1.640
W 1.640 4.919 4.919
W 4.919 1.640 4.919
W 4.919 4.919 1.640
```

Results
* space group: F-43m
* calculated total energy: -67.58 eV per cell

=====

This record from OQMD via LeMat-Bulk describes a geometry-optimized YAgS2 structure. The functional is PBE.

```
12
Lattice="3.981 0.000 0.000 -1.990 3.448 0.000 0.000 0.000 20.931" Properties=species:S:1:pos:R:3 pbc="T T T"
Y 0.000 0.000 0.000
Y 0.000 2.298 13.954
Y 1.990 1.149 6.977
Ag 0.000 0.000 17.811
Ag 0.000 2.298 10.834
Ag 1.990 1.149 3.857
S 0.000 0.000 5.333
S 0.000 0.000 15.356
S 0.000 2.298 8.379
S 0.000 2.298 19.287
S 1.990 1.149 1.402
S 1.990 1.149 12.310
```

Results
* space group: R3m
* calculated total energy: -68.38 eV per cell

=====

This record from OQMD via LeMat-Bulk describes a geometry-optimized Dy2HoGa3Ge2Pd structure. The functional is PBE.

```
9
Lattice="4.228 0.000 0.000 0.000 6.064 3.509 0.000 -6.064 3.509" Properties=species:S:1:pos:R:3 pbc="T T T"
Dy 0.000 -3.569 3.509
Dy 0.000 3.569 3.509
Ho 0.000 0.000 4.332
Ga 2.114 -1.436 2.278
Ga 2.114 1.436 2.278
Ga 2.114 0.000 6.802
Ge 2.114 -2.015 4.953
Ge 2.114 2.015 4.953
Pd 0.000 0.000 1.455
```

Results
* space group: Amm2
* calculated total energy: -44.33 eV per cell

=====

This record from OQMD via LeMat-Bulk describes a geometry-optimized Y2TcPd structure. The functional is PBE.

```
16
Lattice="6.860 0.000 0.000 0.000 6.860 0.000 0.000 0.000 6.860" Properties=species:S:1:pos:R:3 pbc="T T T"
Y 0.000 0.000 0.000
Y 0.000 3.430 3.430
Y 1.715 1.715 1.715
Y 1.715 5.145 5.145
Y 3.430 0.000 3.430
Y 3.430 3.430 0.000
Y 5.145 1.715 5.145
Y 5.145 5.145 1.715
Tc 0.000 0.000 3.430
Tc 0.000 3.430 0.000
Tc 3.430 0.000 0.000
Tc 3.430 3.430 3.430
Pd 1.715 1.715 5.145
Pd 1.715 5.145 1.715
Pd 5.145 1.715 1.715
Pd 5.145 5.145 5.145
```

Results
* energy of formation: 0.095 eV/atom
* space group: F-43m

=====

This record from OQMD via LeMat-Bulk describes a geometry-optimized Dy2YIn3AgPt2 structure. The functional is PBE.

```
9
Lattice="3.771 0.000 0.000 0.000 6.787 3.909 0.000 -6.787 3.909" Properties=species:S:1:pos:R:3 pbc="T T T"
Dy 0.000 -4.009 3.909
Dy 0.000 4.009 3.909
Y 0.000 0.000 3.023
In 1.885 0.000 0.502
In 1.885 -1.825 5.167
In 1.885 1.825 5.167
Ag 0.000 0.000 6.220
Pt 1.885 -2.271 2.306
Pt 1.885 2.271 2.306
```

Results
* space group: Amm2
* calculated total energy: -46.27 eV per cell

=====

This record from OQMD via LeMat-Bulk describes a geometry-optimized CsHo2CuTe4 structure. The functional is PBE.

```
16
Lattice="2.211 -7.771 0.000 2.211 7.771 0.000 0.000 0.000 15.508" Properties=species:S:1:pos:R:3 pbc="T T T"
Cs 2.211 6.059 11.631
Cs 2.211 -6.059 3.877
Ho 2.211 2.066 8.736
Ho 2.211 2.066 14.526
Ho 2.211 -2.066 0.982
Ho 2.211 -2.066 6.772
Cu 2.211 5.206 3.877
Cu 2.211 -5.206 11.631
Te 0.000 0.000 0.000
Te 0.000 0.000 7.754
Te 2.211 3.732 1.664
Te 2.211 3.732 6.090
Te 2.211 1.152 11.631
Te 2.211 -1.152 3.877
Te 2.211 -3.732 9.418
Te 2.211 -3.732 13.844
```

Results
* space group: Cmcm
* calculated total energy: -70.57 eV per cell

=====

This record from OQMD via LeMat-Bulk describes a geometry-optimized InFeNiMo structure. The functional is PBE.

```
16
Lattice="6.167 0.000 0.000 0.000 6.167 0.000 0.000 0.000 6.167" Properties=species:S:1:pos:R:3 pbc="T T T"
In 0.000 0.000 0.000
In 0.000 3.084 3.084
In 3.084 0.000 3.084
In 3.084 3.084 0.000
Fe 1.542 1.542 1.542
Fe 1.542 4.625 4.625
Fe 4.625 1.542 4.625
Fe 4.625 4.625 1.542
Ni 1.542 1.542 4.625
Ni 1.542 4.625 1.542
Ni 4.625 1.542 1.542
Ni 4.625 4.625 4.625
Mo 0.000 0.000 3.084
Mo 0.000 3.084 0.000
Mo 3.084 0.000 0.000
Mo 3.084 3.084 3.084
```

Results
* space group: F-43m
* calculated total energy: -106.84 eV per cell

=====

This record from OQMD via LeMat-Bulk describes a geometry-optimized GdReB4 structure. The functional is PBE.

```
6
Lattice="3.146 0.000 0.000 -1.573 2.725 0.000 0.000 0.000 7.107" Properties=species:S:1:pos:R:3 pbc="T T T"
Gd 0.000 0.000 0.000
Re 0.000 0.000 3.554
B 0.000 1.816 1.977
B 0.000 1.816 5.130
B 1.573 0.908 1.977
B 1.573 0.908 5.130
```

Results
* space group: P6/mmm
* calculated total energy: -45.22 eV per cell

=====

This record from OQMD via LeMat-Bulk describes a geometry-optimized Y9Pt13 structure. The functional is PBE.

```
22
Lattice="5.788 -4.653 0.000 5.788 4.653 0.000 -5.754 0.000 8.318" Properties=species:S:1:pos:R:3 pbc="T T T"
Y 0.000 0.000 0.000
Y -1.604 2.003 6.748
Y -1.445 0.000 3.122
Y 1.522 0.000 5.563
Y -1.604 -2.003 6.748
Y 7.426 2.003 1.570
Y 4.300 0.000 2.756
Y 7.267 0.000 5.196
Y 7.426 -2.003 1.570
Pt 0.017 2.326 4.159
Pt 4.532 2.410 1.262
Pt 2.911 2.308 4.159
Pt 2.881 0.000 0.130
Pt 1.290 2.410 7.056
Pt 1.380 0.000 2.702
Pt 0.017 -2.326 4.159
Pt 5.788 0.000 0.000
Pt 4.442 0.000 5.616
Pt 4.532 -2.410 1.262
Pt 2.941 0.000 8.189
Pt 2.911 -2.308 4.159
Pt 1.290 -2.410 7.056
```

Results
* energy of formation: -1.146 eV/atom
* space group: C2/m

=====

This record from OQMD via LeMat-Bulk describes a geometry-optimized Al7Ni5 structure. The functional is PBE.

```
24
Lattice="4.985 0.000 0.000 -2.493 4.317 0.000 0.000 0.000 15.789" Properties=species:S:1:pos:R:3 pbc="T T T"
Al 0.000 1.423 3.947
Al -1.260 3.606 3.947
Al 1.232 0.711 11.842
Al 0.000 2.878 1.805
Al 0.000 2.878 6.089
Al 0.000 2.878 9.961
Al 0.000 2.878 13.723
Al 2.493 1.439 2.066
Al 2.493 1.439 5.828
Al 2.493 1.439 9.700
Al 2.493 1.439 13.984
Al 1.260 3.606 3.947
Al 3.753 0.711 11.842
Al 2.493 2.894 11.842
Ni 0.000 0.000 1.858
Ni 0.000 0.000 6.037
Ni 0.000 0.000 9.752
Ni 0.000 0.000 13.932
Ni -1.246 2.159 0.000
Ni -1.246 2.159 7.895
Ni 2.493 0.000 0.000
Ni 2.493 0.000 7.895
Ni 1.246 2.159 0.000
Ni 1.246 2.159 7.895
```

Results
* space group: P6_3/mmc
* calculated total energy: -109.53 eV per cell

=====

This record from OQMD via LeMat-Bulk describes a geometry-optimized HfGeMo structure. The functional is PBE.

```
12
Lattice="6.154 0.000 0.000 0.000 6.154 0.000 0.000 0.000 6.154" Properties=species:S:1:pos:R:3 pbc="T T T"
Hf 0.000 0.000 0.000
Hf 0.000 3.077 3.077
Hf 3.077 0.000 3.077
Hf 3.077 3.077 0.000
Ge 1.539 1.539 1.539
Ge 1.539 4.616 4.616
Ge 4.616 1.539 4.616
Ge 4.616 4.616 1.539
Mo 0.000 0.000 3.077
Mo 0.000 3.077 0.000
Mo 3.077 0.000 0.000
Mo 3.077 3.077 3.077
```

Results
* space group: F-43m
* calculated total energy: -100.93 eV per cell

=====

This record from OQMD via LeMat-Bulk describes a geometry-optimized Na4Li2Ir structure. The functional is PBE.

```
7
Lattice="5.715 0.000 0.000 0.000 5.715 0.000 0.000 0.000 4.755" Properties=species:S:1:pos:R:3 pbc="T T T"
Na 1.372 1.372 2.271
Na 1.372 4.343 2.484
Na 4.343 1.372 2.484
Na 4.343 4.343 2.271
Li 0.000 2.858 0.000
Li 2.858 0.000 0.000
Ir 0.000 0.000 0.000
```

Results
* space group: P-42m
* calculated total energy: -15.68 eV per cell

=====

This record from OQMD via LeMat-Bulk describes a geometry-optimized SrHgB4 structure. The functional is PBE.

```
6
Lattice="3.241 0.000 0.000 -1.620 2.807 0.000 0.000 0.000 8.236" Properties=species:S:1:pos:R:3 pbc="T T T"
Sr 0.000 0.000 0.000
Hg 0.000 0.000 4.118
B 0.000 1.871 2.156
B 0.000 1.871 6.080
B 1.620 0.936 2.156
B 1.620 0.936 6.080
```

Results
* space group: P6/mmm
* calculated total energy: -25.54 eV per cell

=====

This record from OQMD via LeMat-Bulk describes a geometry-optimized TaCdO3 structure. The functional is PBE.

```
5
Lattice="3.274 0.000 0.000 0.000 3.274 0.000 0.000 0.000 6.125" Properties=species:S:1:pos:R:3 pbc="T T T"
Ta 0.000 0.000 0.000
Cd 1.637 1.637 3.285
O 0.000 1.637 5.058
O 1.637 0.000 5.058
O 1.637 1.637 1.041
```

Results
* space group: P4mm
* calculated total energy: -34.73 eV per cell